# PrNdBe (PBE-GGA, relaxed)
data_PrNdBe
_cell_length_a 6.974
_cell_length_b 6.974
_cell_length_c 6.974
_cell_angle_alpha 90.00
_cell_angle_beta 90.00
_cell_angle_gamma 90.00
_symmetry_space_group_name_H-M 'F -4 3 m'
_symmetry_Int_Tables_number 216
_symmetry_space_group_name_Hall 'F -4 2 3'
loop_
_atom_site_label
_atom_site_fract_x
_atom_site_fract_y
_atom_site_fract_z
Pr1 0.000 0.000 0.000
Nd1 0.250 0.250 0.250
Be1 0.250 0.250 0.750
# energy: -42.79 eV for the cell shown